# YGa4Ni2 | the Alexandria database | GGA-PBE | relaxed
# - Formation enthalpy at 0 K: -0.534 eV/atom
# - V: 16.02 Å³/atom
data_YGa4Ni2
_space_group_name_H-M_alt 'P n m a'
_space_group_IT_number 62
_cell_length_a 16.905
_cell_length_b 4.162
_cell_length_c 6.375
_cell_angle_alpha 90.00
_cell_angle_beta 90.00
_cell_angle_gamma 90.00
loop_
_space_group_symop_operation_xyz
'x,y,z'
'-x,-y,-z'
'-x+1/2,-y,z+1/2'
'x+1/2,y,-z+1/2'
'x+1/2,-y+1/2,-z+1/2'
'-x+1/2,y+1/2,z+1/2'
'-x,y+1/2,-z'
'x,-y+1/2,z'
loop_
_atom_site_label
_atom_site_fract_x
_atom_site_fract_y
_atom_site_fract_z
Y1 0.140 0.250 0.012
Ga1 0.034 0.750 0.838
Ga2 0.073 0.250 0.498
Ga3 0.184 0.750 0.320
Ga4 0.195 0.750 0.725
Ni1 0.037 0.750 0.247
Ni2 0.217 0.250 0.527